Model P:
! Co2Os, relaxed, DFT PBE; values from VASP
! crystal system: monoclinic
&SYSTEM
  ibrav = 0, nat = 6, ntyp = 2
/
ATOMIC_SPECIES
Co 58.93 Co.upf
Os 190.23 Os.upf
CELL_PARAMETERS angstrom
4.650 -1.319 0.000
4.650 1.319 0.000
-1.411 0.000 5.885
ATOMIC_POSITIONS crystal
Co 0.000 0.000 0.000
Co 0.055 0.055 0.613
Co 0.336 0.336 0.671
Co 0.667 0.667 0.342
Os 0.389 0.389 0.284
Os 0.720 0.720 0.941



Model Q:
! Co2Os, relaxed, DFT PBE; values from VASP
! crystal system: tetragonal
&SYSTEM
  ibrav = 0, nat = 3, ntyp = 2
/
ATOMIC_SPECIES
Co 58.93 Co.upf
Os 190.23 Os.upf
CELL_PARAMETERS angstrom
-1.306 1.306 5.252
1.306 -1.306 5.252
1.306 1.306 -5.252
ATOMIC_POSITIONS crystal
Co 0.170 0.170 0.000
Co 0.830 0.830 0.000
Os 0.500 0.500 0.000



Model R:
! Co2Os, relaxed, DFT PBE; values from VASP
! crystal system: monoclinic
&SYSTEM
  ibrav = 0, nat = 6, ntyp = 2
/
ATOMIC_SPECIES
Co 58.93 Co.upf
Os 190.23 Os.upf
CELL_PARAMETERS angstrom
4.653 -1.319 0.000
4.653 1.319 0.000
-1.540 0.000 5.869
ATOMIC_POSITIONS crystal
Co 0.028 0.028 0.299
Co 0.362 0.362 0.971
Co 0.638 0.638 0.029
Co 0.972 0.972 0.701
Os 0.308 0.308 0.356
Os 0.692 0.692 0.644



Model S:
! Co2Os, relaxed, DFT PBE; values from VASP
! crystal system: trigonal
&SYSTEM
  ibrav = 0, nat = 3, ntyp = 2
/
ATOMIC_SPECIES
Co 58.93 Co.upf
Os 190.23 Os.upf
CELL_PARAMETERS angstrom
2.621 0.000 0.000
-1.311 2.270 0.000
0.000 0.000 6.205
ATOMIC_POSITIONS crystal
Co 0.333 0.667 0.158
Co 0.667 0.333 0.842
Os 0.000 0.000 0.500



Which of them is most stable? Easy: model R.



Model P:
! Co5Os3, relaxed, DFT PBE; values from VASP
! crystal system: hexagonal
&SYSTEM
  ibrav = 0, nat = 16, ntyp = 2
/
ATOMIC_SPECIES
Co 58.93 Co.upf
Os 190.23 Os.upf
CELL_PARAMETERS angstrom
7.221 0.000 0.000
-3.611 6.254 0.000
0.000 0.000 4.502
ATOMIC_POSITIONS crystal
Co 0.000 0.194 0.250
Co 0.000 0.806 0.750
Co 0.194 0.000 0.250
Co 0.194 0.194 0.750
Co 0.333 0.667 0.000
Co 0.333 0.667 0.500
Co 0.667 0.333 0.000
Co 0.667 0.333 0.500
Co 0.806 0.000 0.750
Co 0.806 0.806 0.250
Os 0.000 0.408 0.750
Os 0.000 0.592 0.250
Os 0.408 0.000 0.750
Os 0.408 0.408 0.250
Os 0.592 0.000 0.250
Os 0.592 0.592 0.750



Model Q:
! Co5Os3, relaxed, DFT PBE; values from VASP
! crystal system: monoclinic
&SYSTEM
  ibrav = 0, nat = 16, ntyp = 2
/
ATOMIC_SPECIES
Co 58.93 Co.upf
Os 190.23 Os.upf
CELL_PARAMETERS angstrom
2.226 -6.360 0.000
2.226 6.360 0.000
-1.213 0.000 7.087
ATOMIC_POSITIONS crystal
Co 0.000 0.000 0.000
Co 0.081 0.284 0.724
Co 0.244 0.447 0.360
Co 0.284 0.081 0.724
Co 0.447 0.244 0.360
Co 0.524 0.524 0.080
Co 0.553 0.860 0.870
Co 0.669 0.972 0.209
Co 0.860 0.553 0.870
Co 0.972 0.669 0.209
Os 0.086 0.442 0.042
Os 0.442 0.086 0.042
Os 0.561 0.977 0.539
Os 0.636 0.636 0.676
Os 0.891 0.891 0.407
Os 0.977 0.561 0.539



Which of them is most stable? Easy: model Q.